This record from Alexandria describes a relaxed structure of Tb6PrAl. The functional is GGA-PBE.

```
Tb6PrAl
1.0
4.889 0.000 0.000
0.000 4.889 0.000
0.000 0.000 10.076
Al Tb Pr
1 6 1
Cartesian
0.000 0.000 0.000
0.000 2.444 2.374
2.444 0.000 7.702
2.444 0.000 2.374
0.000 2.444 7.702
2.444 2.444 5.038
2.444 2.444 0.000
0.000 0.000 5.038
```

Results
* size of the total moment: 0.0 Bohr magnetons per cell
* energy above the lowest structure with this stoichiometry: 0 meV/atom

This record from Alexandria describes a relaxed structure of Tb12PrAl3. The functional is GGA-PBE.

```
Tb12PrAl3
1.0
4.817 0.000 0.000
0.000 4.817 0.000
0.000 0.000 19.755
Tb Pr Al
12 1 3
Cartesian
2.409 2.409 5.124
2.409 0.000 12.265
0.000 2.409 12.265
2.409 2.409 0.000
2.409 0.000 2.711
2.409 0.000 17.044
2.409 0.000 7.490
2.409 2.409 14.631
2.409 2.409 9.878
0.000 2.409 7.490
0.000 2.409 2.711
0.000 2.409 17.044
0.000 0.000 0.000
0.000 0.000 5.120
0.000 0.000 9.878
0.000 0.000 14.635
```

Results
* size of the total moment: 0.0 Bohr magnetons per cell

| no. | energy relative to the elements (eV per formula unit) |
| --- | --- |
| 1 | -0.4 |
| 2 | -1.9 |